[1]
Hf6GaC3N2 PBE relaxed; SG = C2/m; total DFT energy (no corrections) = -9.885 eV per atom; formation energy from raw total energies = -962 meV per atom
1.0
7.315 -1.657 0.000
7.315 1.657 0.000
-1.529 0.000 6.649
Hf Ga C N
6 1 3 2
direct
0.002 0.002 0.282
0.322 0.322 0.908
0.332 0.332 0.413
0.668 0.668 0.587
0.678 0.678 0.092
0.998 0.998 0.718
0.500 0.500 0.000
0.168 0.168 0.831
0.500 0.500 0.500
0.832 0.832 0.169
0.173 0.173 0.343
0.827 0.827 0.657

---

[2]
LaMnIr4 PBE relaxed; formation energy from the elements = -0.234 eV/atom; SG = F-43m; total DFT energy (no corrections) = -8.490 eV per atom
1.0
0.000 3.781 3.781
3.781 0.000 3.781
3.781 3.781 0.000
La Mn Ir
1 1 4
direct
0.000 0.000 0.000
0.750 0.750 0.750
0.376 0.376 0.376
0.376 0.376 0.873
0.376 0.873 0.376
0.873 0.376 0.376

---

[3]
LiCdCl2 PBE relaxed; relative energy among the computed polymorphs = 31.2 meV/atom; SG = P4mm; total DFT energy (no corrections) = -2.659 eV per atom; formation energy from raw total energies = -1029 meV per atom
1.0
4.034 0.000 0.000
0.000 4.034 0.000
0.000 0.000 5.938
Li Cd Cl
1 1 2
direct
0.000 0.000 0.000
0.500 0.500 0.453
0.000 0.000 0.413
0.500 0.500 0.943

---

[4]
Ti2NbCrH PBE relaxed; relative energy among the computed polymorphs = 0.0 meV/atom; SG = P4/mmm; total DFT energy (no corrections) = -7.767 eV per atom
1.0
4.389 0.000 0.000
0.000 4.389 0.000
0.000 0.000 3.375
Ti Nb Cr H
2 1 1 1
direct
0.000 0.500 0.000
0.500 0.000 0.000
0.000 0.000 0.500
0.500 0.500 0.500
0.500 0.500 0.000

---

[5]
CsRb8Hg3 PBE relaxed; formation energy from the elements = -0.061 eV/atom; SG = R-3m; total DFT energy (no corrections) = -0.852 eV per atom
1.0
6.135 3.542 6.060
-6.135 3.542 6.060
0.000 -7.084 6.060
Cs Rb Hg
1 8 3
direct
0.000 0.000 0.000
0.236 0.236 0.236
0.267 0.267 0.697
0.267 0.697 0.267
0.303 0.733 0.733
0.697 0.267 0.267
0.733 0.303 0.733
0.733 0.733 0.303
0.764 0.764 0.764
0.000 0.000 0.500
0.000 0.500 0.000
0.500 0.000 0.000

---

[6]
TbNpNiS4 PBE relaxed; SG = P2_1/m; total DFT energy (no corrections) = -7.003 eV per atom; formation energy from raw total energies = -1308 meV per atom
1.0
6.439 0.000 0.000
0.000 5.648 0.000
-2.178 0.000 7.357
Tb Np Ni S
2 2 2 8
direct
0.235 0.250 0.433
0.765 0.750 0.567
0.253 0.250 0.940
0.747 0.750 0.060
0.260 0.750 0.178
0.740 0.250 0.822
0.069 0.750 0.382
0.073 0.750 0.894
0.484 0.511 0.746
0.484 0.989 0.746
0.516 0.011 0.254
0.516 0.489 0.254
0.927 0.250 0.106
0.931 0.250 0.618

---

[7]
PuAgP2 PBE relaxed; formation energy from the elements = -0.375 eV/atom; SG = R-3m; total DFT energy (no corrections) = -7.376 eV per atom
1.0
2.066 1.193 5.246
-2.066 1.193 5.246
0.000 -2.385 5.246
Pu Ag P
1 1 2
direct
0.000 0.000 0.000
0.500 0.500 0.500
0.250 0.250 0.250
0.750 0.750 0.750

---

[8]
NbZnBrF2 PBE relaxed; SG = P4/mmm; total DFT energy (no corrections) = -4.672 eV per atom; formation energy from raw total energies = -1320 meV per atom
1.0
4.121 0.000 0.000
0.000 4.121 0.000
0.000 0.000 5.642
Nb Zn Br F
1 1 1 2
direct
0.000 0.000 0.000
0.000 0.000 0.500
0.500 0.500 0.500
0.000 0.500 0.000
0.500 0.000 0.000